Computed, not measured: a geometry-optimized ScMn2Co structure at the GGA-PBE level of DFT.

Cell: 8.626 8.626 8.626 Å, 18.97 18.97 18.97°
Each line ends with the local moment (μB).
Element x y z (fractional)
Co1 0.750 0.750 0.750  1.65
Mn1 0.009 0.009 0.009  2.96
Mn2 0.491 0.491 0.491  2.96
Sc1 0.250 0.250 0.250  -0.56

Output
Offset from the most stable computed form, eV per atom: 0.397
DFT total energy, eV/atom: -7.594
ΔH_f (0 K), eV per atom: 0.351